Compound: SrCa2Mg
Source: the Alexandria database
Functional: PBE
Structure: optimized geometry

a b c (Å): 4.056 4.056 9.677
angles (deg): 90.00 90.00 90.00
Space group P4/mmm (No. 123)
Symmetry-distinct sites (fractional):
Sr 0.000 0.000 0.000 (multiplicity 1)
Ca 0.500 0.500 0.303 (multiplicity 2)
Mg 0.000 0.000 0.500 (multiplicity 1)

**Energy relative to the elements**: -0.019 eV/atom
**Uncorrected energy**: -1.839 eV per atom
**D(E_F)**: 4.7 states/eV per cell